## CoHgPO (PBE+U)

Data for crystalline CoHgPO at its relaxed geometry.

```
8
Lattice="-0.232 -0.322 -3.467 6.621 0.065 -0.450 0.097 -6.033 0.554" Properties=species:S:1:pos:R:3 pbc="T T T"
O 2.461 -2.192 -1.718
O 4.041 -5.193 -1.545
P 5.358 -2.375 -0.139
P 1.389 -5.431 0.411
Hg 1.192 -2.918 0.191
Hg 5.571 -5.893 0.174
Co 4.030 -3.290 -1.721
Co 2.411 -0.289 -1.891
```

**Size of the total moment**: 4.01 μB/cell
**Energy above the most stable polymorph in this dataset**: 0.000 eV/atom
**Volume**: 17.5 Å³/atom
**Theoretical density**: 7.25 g/cm3